Computed, not measured: a relaxed LuTeBr crystal at the PBE level of DFT.

```
LuTeBr
1.0
4.197 0.000 0.000
-2.098 3.634 0.000
0.000 0.000 7.237
Lu Te Br
1 1 1
direct
0.000 0.000 0.000
0.667 0.333 0.773
0.333 0.667 0.233
```

DOS(E_F) = 0.0 states/eV/cell
Total magnetic moment = 0.00 μB/cell
Theoretical density = 5.754 Mg/m³
Energy relative to the elements, uncorrected = -4.487 eV per formula unit

=====

Computed, not measured: a relaxed SbTe2OsCl crystal at the PBE level of DFT.

```
SbTe2OsCl
1.0
5.202 0.000 0.000
0.000 5.202 0.000
0.000 0.000 5.009
Sb Te Os Cl
1 2 1 1
direct
0.000 0.000 0.000
0.000 0.500 0.500
0.500 0.000 0.500
0.500 0.500 0.000
0.000 0.000 0.500
```

Polymorph energy (0 for the lowest one) = 6.39 eV per formula unit
DOS(E_F) = 6.7 states/eV/cell
Total magnetic moment = 0.44 μB/cell
Theoretical density = 7.382 Mg/m³
Energy relative to the elements, uncorrected = 9.076 eV per formula unit

=====

Computed, not measured: a relaxed Tb3Pm3Co4 crystal at the PBE level of DFT.

```
Tb3Pm3Co4
1.0
4.262 0.000 0.000
0.000 5.163 5.139
0.000 -5.163 5.139
Tb Pm Co
3 3 4
direct
0.000 0.000 0.000
0.500 0.323 0.824
0.500 0.824 0.323
0.000 0.150 0.499
0.000 0.499 0.150
0.000 0.653 0.653
0.500 0.207 0.207
0.500 0.427 0.427
0.500 0.722 0.940
0.500 0.940 0.722
```

DOS(E_F) = 6.7 states/eV/cell
Total magnetic moment = 0.00 μB/cell
Energy of formation = -0.076 eV/atom
Theoretical density = 8.425 Mg/m³